1.
KCrFe2 after structural relaxation, computed with PBEsol.

The structure in CIF format:
```
data_KCrFe2
_cell_length_a 8.1557
_cell_length_b 2.7737
_cell_length_c 6.8162
_cell_angle_alpha 90.00
_cell_angle_beta 96.83
_cell_angle_gamma 90.00
_space_group_name_H-M_alt 'C 1 2/m 1'
_space_group_IT_number 12
_space_group_name_Hall '-C 2y'
loop_
_atom_site_label
_atom_site_type_symbol
_atom_site_fract_x
_atom_site_fract_y
_atom_site_fract_z
_atom_site_occupancy
K1 K 0.0000 0.0000 0.0000 1
Cr1 Cr 0.0000 0.5000 0.5000 1
Fe1 Fe 0.2220 0.0000 0.6192 1
```

Final energy ... -6.402 eV/atom
Excess energy over the best structure of this formula in the dataset ... 0.113 eV per atom
ΔH_f (0 K) ... 924 meV/atom

---

2.
K3CrFe after structural relaxation, computed with PBEsol.

The structure in CIF format:
```
data_K3CrFe
_cell_length_a 6.1396
_cell_length_b 6.1396
_cell_length_c 6.1396
_cell_angle_alpha 90.00
_cell_angle_beta 90.00
_cell_angle_gamma 90.00
_space_group_name_H-M_alt 'P m -3 m'
_space_group_IT_number 221
_space_group_name_Hall '-P 4 2 3'
loop_
_atom_site_label
_atom_site_type_symbol
_atom_site_fract_x
_atom_site_fract_y
_atom_site_fract_z
_atom_site_occupancy
K1 K 0.0000 0.0000 0.5000 1
Cr1 Cr 0.5000 0.5000 0.5000 1
Fe1 Fe 0.0000 0.0000 0.0000 1
```

Final energy ... -3.022 eV/atom
ΔH_f (0 K) ... 1499 meV/atom